DFT (GGA-PBE) results for a geometry-optimized Ta3TcRh structure.

Cell: 4.739 4.739 4.739 Å, 90.00 90.00 90.00°
Element x y z (fractional)
1 Ta 0.000 0.000 0.500
2 Ta 0.000 0.500 0.000
3 Ta 0.500 0.000 0.000
4 Tc 0.000 0.000 0.000
5 Rh 0.500 0.500 0.500

## Properties
SG: No. 221
Relative energy among the computed polymorphs in meV per atom: 0.0
Formation enthalpy at 0 K in eV per atom: 1.257


DFT (GGA-PBE) results for a geometry-optimized AgPb2I structure.

Cell: 9.988 9.988 9.988 Å, 23.68 23.68 23.68°
Element x y z (fractional)
1 Ag 0.000 0.000 0.000
2 Pb 0.395 0.395 0.395
3 Pb 0.605 0.605 0.605
4 I 0.500 0.500 0.500

## Properties
SG: No. 166
Formation energy (no corrections) in eV/atom: 0.052
Relative energy among the computed polymorphs in meV per atom: 0.0


DFT (GGA-PBE) results for a geometry-optimized Mg7Si4 structure.

Cell: 4.376 6.202 16.046 Å, 86.16 89.88 89.38°
Element x y z (fractional)
1 Mg 0.000 0.000 0.000
2 Mg 0.000 0.485 0.933
3 Mg 0.003 0.126 0.810
4 Mg 0.025 0.016 0.504
5 Mg 0.028 0.498 0.411
6 Mg 0.496 0.598 0.057
7 Mg 0.497 0.794 0.874
8 Mg 0.501 0.079 0.155
9 Mg 0.504 0.434 0.742
10 Mg 0.509 0.932 0.682
11 Mg 0.514 0.292 0.543
12 Mg 0.525 0.569 0.260
13 Mg 0.528 0.082 0.363
14 Mg 0.535 0.732 0.508
15 Si 0.004 0.768 0.148
16 Si 0.009 0.248 0.647
17 Si 0.023 0.852 0.293
18 Si 0.030 0.251 0.274
19 Si 0.046 0.640 0.620
20 Si 0.502 0.216 0.911
21 Si 0.993 0.376 0.127
22 Si 0.997 0.712 0.770

## Properties
SG: No. 1
Formation energy (no corrections) in eV/atom: 0.027
Relative energy among the computed polymorphs in meV per atom: 10.6


DFT (GGA-PBE) results for a geometry-optimized SrSbRu structure.

Cell: 4.553 4.553 7.422 Å, 90.00 90.00 90.00°
Element x y z (fractional)
1 Sr 0.250 0.250 0.184
2 Sr 0.750 0.750 0.816
3 Sb 0.250 0.250 0.689
4 Sb 0.750 0.750 0.311
5 Ru 0.250 0.750 0.500
6 Ru 0.750 0.250 0.500

## Properties
SG: No. 129
Formation energy (no corrections) in eV/atom: -0.499


DFT (GGA-PBE) results for a geometry-optimized HgW structure.

Cell: 3.297 3.297 3.297 Å, 90.00 90.00 90.00°
Element x y z (fractional)
1 Hg 0.000 0.000 0.000
2 W 0.500 0.500 0.500

## Properties
SG: No. 221
Relative energy among the computed polymorphs in meV per atom: 711.6
Formation enthalpy at 0 K in eV per atom: 1.216


DFT (GGA-PBE) results for a geometry-optimized Sm2Dy5Ho3 structure.

Cell: 12.277 12.277 12.277 Å, 135.30 56.02 148.01°
Element x y z (fractional)
1 Sm 0.125 0.099 0.224
2 Sm 0.375 0.599 0.974
3 Sm 0.625 0.401 0.026
4 Sm 0.875 0.901 0.776
5 Dy 0.001 0.750 0.251
6 Dy 0.125 0.409 0.534
7 Dy 0.250 0.750 0.500
8 Dy 0.375 0.909 0.284
9 Dy 0.499 0.750 0.749
10 Dy 0.501 0.250 0.251
11 Dy 0.625 0.091 0.716
12 Dy 0.750 0.250 0.500
13 Dy 0.875 0.591 0.466
14 Dy 0.999 0.250 0.749
15 Ho 0.124 0.750 0.875
16 Ho 0.250 0.250 0.000
17 Ho 0.376 0.250 0.626
18 Ho 0.624 0.750 0.374
19 Ho 0.750 0.750 0.000
20 Ho 0.876 0.250 0.125

## Properties
SG: No. 72
Relative energy among the computed polymorphs in meV per atom: 210.8
Formation enthalpy at 0 K in eV per atom: 0.410


| no. | electronic total energy (eV/atom) |
| --- | --- |
| 1 | -9.398 |
| 2 | -2.902 |
| 3 | -2.960 |
| 4 | -5.525 |
| 5 | -5.412 |
| 6 | -4.208 |